Entry 1:
# Li7ZrO6

Crystalline Li7ZrO6 at its relaxed geometry (PBE, OQMD).

The structure in CIF format:
```
data_Li7ZrO6
_symmetry_space_group_name_H-M 'R 3'
_symmetry_Int_Tables_number 146
_symmetry_space_group_name_Hall 'R 3'
_cell_length_a 5.5733
_cell_length_b 5.5733
_cell_length_c 14.9862
_cell_angle_alpha 90.00
_cell_angle_beta 90.00
_cell_angle_gamma 120.00
loop_
_atom_site_label
_atom_site_fract_x
_atom_site_fract_y
_atom_site_fract_z
Li1 0.0000 0.0000 0.0000
Li2 0.0125 0.2889 0.5605
Li3 0.0120 0.6257 0.4607
Zr1 0.0000 0.0000 0.3440
O1 0.0417 0.3595 0.0957
O2 0.0434 0.7012 0.9269
```

Values from the calculation:
Theoretical density, g/cm³: 2.9
Raw total energy, eV per atom: -5.7412

=====

Entry 2:
# LaEr2Mg3Ir2Pt

Crystalline LaEr2Mg3Ir2Pt at its relaxed geometry (PBE, OQMD).

The structure in CIF format:
```
data_LaEr2Mg3Ir2Pt
_symmetry_space_group_name_H-M 'A m m 2'
_symmetry_Int_Tables_number 38
_symmetry_space_group_name_Hall 'A 2 -2'
_cell_length_a 4.060
_cell_length_b 12.719
_cell_length_c 7.400
_cell_angle_alpha 90.00
_cell_angle_beta 90.00
_cell_angle_gamma 90.00
loop_
_atom_site_label
_atom_site_fract_x
_atom_site_fract_y
_atom_site_fract_z
La1 0.000 0.000 0.000
Er1 0.000 0.206 0.625
Mg1 0.500 0.000 0.661
Mg2 0.500 0.126 0.300
Ir1 0.500 0.170 0.919
Pt1 0.000 0.000 0.428
```

Values from the calculation:
Theoretical density, g/cm³: 9.8
Raw total energy, eV per atom: -5.4931

=====

Entry 3:
# DyThOs

Crystalline DyThOs at its relaxed geometry (PBE, OQMD).

The structure in CIF format:
```
data_DyThOs
_symmetry_space_group_name_H-M 'F -4 3 m'
_symmetry_Int_Tables_number 216
_symmetry_space_group_name_Hall 'F -4 2 3'
_cell_length_a 6.891
_cell_length_b 6.891
_cell_length_c 6.891
_cell_angle_alpha 90.00
_cell_angle_beta 90.00
_cell_angle_gamma 90.00
loop_
_atom_site_label
_atom_site_fract_x
_atom_site_fract_y
_atom_site_fract_z
Dy1 0.000 0.000 0.000
Th1 0.000 0.000 0.500
Os1 0.250 0.250 0.250
```

Values from the calculation:
Theoretical density, g/cm³: 11.9
Raw total energy, eV per atom: -7.9718
DFT formation energy, eV/atom: -0.23
Energy relative to the lowest polymorph listed for this composition, eV per formula unit: 0.00

=====

Entry 4:
# GdCdAsO

Crystalline GdCdAsO at its relaxed geometry (PBE, OQMD).

The structure in CIF format:
```
data_GdCdAsO
_symmetry_space_group_name_H-M 'P m c 21'
_symmetry_Int_Tables_number 26
_symmetry_space_group_name_Hall 'P 2c -2'
_cell_length_a 4.516
_cell_length_b 6.280
_cell_length_c 6.140
_cell_angle_alpha 90.00
_cell_angle_beta 90.00
_cell_angle_gamma 90.00
loop_
_atom_site_label
_atom_site_fract_x
_atom_site_fract_y
_atom_site_fract_z
Gd1 0.000 0.236 0.000
Cd1 0.500 0.363 0.621
As1 0.000 0.229 0.480
O1 0.500 0.291 0.991
```

Values from the calculation:
Theoretical density, g/cm³: 6.9
Raw total energy, eV per atom: -5.2564

=====

Entry 5:
# TaBeIr

Crystalline TaBeIr at its relaxed geometry (PBE, OQMD).

The structure in CIF format:
```
data_TaBeIr
_symmetry_space_group_name_H-M 'F -4 3 m'
_symmetry_Int_Tables_number 216
_symmetry_space_group_name_Hall 'F -4 2 3'
_cell_length_a 5.896
_cell_length_b 5.896
_cell_length_c 5.896
_cell_angle_alpha 90.00
_cell_angle_beta 90.00
_cell_angle_gamma 90.00
loop_
_atom_site_label
_atom_site_fract_x
_atom_site_fract_y
_atom_site_fract_z
Ta1 0.000 0.000 0.000
Be1 0.250 0.250 0.750
Ir1 0.250 0.250 0.250
```

Values from the calculation:
Theoretical density, g/cm³: 12.4
Raw total energy, eV per atom: -7.8233
Energy relative to the lowest polymorph listed for this composition, eV per formula unit: 1.15

=====

Entry 6:
# SmLuAsO

Crystalline SmLuAsO at its relaxed geometry (PBE, OQMD).

The structure in CIF format:
```
data_SmLuAsO
_symmetry_space_group_name_H-M 'P 4/n m m'
_symmetry_Int_Tables_number 129
_cell_length_a 4.249
_cell_length_b 4.249
_cell_length_c 8.964
_cell_angle_alpha 90.00
_cell_angle_beta 90.00
_cell_angle_gamma 90.00
loop_
_symmetry_equiv_pos_as_xyz
'x,y,z'
'-x,-y,-z'
'-y+1/2,x,z'
'y+1/2,-x,-z'
'-x+1/2,-y+1/2,z'
'x+1/2,y+1/2,-z'
'y,-x+1/2,z'
'-y,x+1/2,-z'
'x+1/2,-y,-z'
'-x+1/2,y,z'
'-y,-x,-z'
'y,x,z'
'-x,y+1/2,-z'
'x,-y+1/2,z'
'y+1/2,x+1/2,-z'
'-y+1/2,-x+1/2,z'
loop_
_atom_site_label
_atom_site_fract_x
_atom_site_fract_y
_atom_site_fract_z
Sm1 0.250 0.750 0.000
Lu1 0.250 0.250 0.407
As1 0.250 0.250 0.781
O1 0.250 0.750 0.500
```

Values from the calculation:
Theoretical density, g/cm³: 8.5
Raw total energy, eV per atom: -6.4936
Energy relative to the lowest polymorph listed for this composition, eV per formula unit: 0.55

=====

Entry 7:
# Gd2BiClO4

Crystalline Gd2BiClO4 at its relaxed geometry (PBE, OQMD).

The structure in CIF format:
```
data_Gd2BiClO4
_symmetry_space_group_name_H-M 'P 4/m m m'
_symmetry_Int_Tables_number 123
_symmetry_space_group_name_Hall '-P 4 2'
_cell_length_a 3.956
_cell_length_b 3.956
_cell_length_c 8.984
_cell_angle_alpha 90.00
_cell_angle_beta 90.00
_cell_angle_gamma 90.00
loop_
_atom_site_label
_atom_site_fract_x
_atom_site_fract_y
_atom_site_fract_z
Gd1 0.000 0.000 0.231
Bi1 0.500 0.500 0.500
Cl1 0.500 0.500 0.000
O1 0.000 0.500 0.336
```

Values from the calculation:
Theoretical density, g/cm³: 7.4
Raw total energy, eV per atom: -6.8130

=====

Entry 8:
# NdGd2Al7Ag2

Crystalline NdGd2Al7Ag2 at its relaxed geometry (PBE, OQMD).

The structure in CIF format:
```
data_NdGd2Al7Ag2
_symmetry_space_group_name_H-M 'R -3 m'
_symmetry_Int_Tables_number 166
_symmetry_space_group_name_Hall '-R 3 2"'
_cell_length_a 5.6050
_cell_length_b 5.6050
_cell_length_c 26.5210
_cell_angle_alpha 90.00
_cell_angle_beta 90.00
_cell_angle_gamma 120.00
loop_
_atom_site_label
_atom_site_fract_x
_atom_site_fract_y
_atom_site_fract_z
Nd1 0.0000 0.0000 0.0000
Gd1 0.0000 0.0000 0.1420
Al1 0.0000 0.0000 0.5000
Al2 0.0081 0.5040 0.9163
Ag1 0.0000 0.0000 0.3359
```

Values from the calculation:
Theoretical density, g/cm³: 6.0
Raw total energy, eV per atom: -4.3054